Arrangement P

RbNbCdSe3 | PBE | optimized geometry

Computed properties:
calculated volume	28.17	Å³ per atom
size of the total moment	0.00	μB per atom
space group	P2_1/m, No. 11

Cell: 8.685 3.852 10.928 Å, 90.00 112.40 90.00°
Element x y z (fractional)
Rb: 0.044 0.250 0.278
Rb: 0.956 0.750 0.722
Nb: 0.473 0.250 0.097
Nb: 0.527 0.750 0.903
Cd: 0.467 0.750 0.374
Cd: 0.533 0.250 0.626
Se: 0.264 0.750 0.124
Se: 0.304 0.750 0.550
Se: 0.305 0.250 0.846
Se: 0.695 0.750 0.154
Se: 0.696 0.250 0.450
Se: 0.736 0.250 0.876



Arrangement Q

RbNbCdSe3 | PBE | optimized geometry

Computed properties:
calculated volume	27.73	Å³ per atom
size of the total moment	0.33	μB per atom
space group	Cmcm, No. 63

Cell: 8.113 8.113 10.618 Å, 90.00 90.00 151.57°
Element x y z (fractional)
Rb: 0.249 0.751 0.750
Rb: 0.751 0.249 0.250
Nb: 0.000 0.000 0.000
Nb: 0.000 0.000 0.500
Cd: 0.458 0.542 0.250
Cd: 0.542 0.458 0.750
Se: 0.068 0.932 0.250
Se: 0.381 0.619 0.032
Se: 0.381 0.619 0.468
Se: 0.619 0.381 0.532
Se: 0.619 0.381 0.968
Se: 0.932 0.068 0.750



The most stable of them is arrangement P.



Arrangement P

SmNbCd | PBE | optimized geometry

Computed properties:
calculated volume	27.73	Å³ per atom
size of the total moment	0.83	μB per atom
space group	F-43m, No. 216

Cell: 4.900 4.900 4.900 Å, 60.00 60.00 60.00°
Element x y z (fractional)
Sm: 0.000 0.000 0.000
Nb: 0.750 0.750 0.750
Cd: 0.500 0.500 0.500



Arrangement Q

SmNbCd | PBE | optimized geometry

Computed properties:
calculated volume	28.94	Å³ per atom
size of the total moment	0.98	μB per atom
space group	F-43m, No. 216

Cell: 4.970 4.970 4.970 Å, 60.00 60.00 60.00°
Element x y z (fractional)
Sm: 0.000 0.000 0.000
Nb: 0.250 0.250 0.250
Cd: 0.750 0.750 0.750



The most stable of them is arrangement P.